Here is a relaxed Er4C2SeS crystal from OQMD via LeMat-Bulk. Energies are from PBE-GGA.

## Properties
Its total magnetic moment is 0.000 μB/atom. The calculation puts the calculated total energy at -6.77 eV/atom.

Unit cell a=3.6926 b=3.6926 c=12.9496 alpha=90.00 beta=90.00 gamma=120.00
Fractional coordinates of all 8 atoms:
S (0.0000, 0.0000, 0.0000)
Er (0.6667, 0.3333, 0.8564)
Er (0.0000, 0.0000, 0.6531)
Er (0.6667, 0.3333, 0.1436)
Er (0.0000, 0.0000, 0.3469)
C (0.3333, 0.6667, 0.2455)
C (0.3333, 0.6667, 0.7545)
Se (0.6667, 0.3333, 0.5000)